[1]
Density functional theory data (GGA-PBE) for a relaxed structure of YSbS2N.

Lattice parameters (Å, degrees): 5.0475 5.0475 4.0176 90.00 90.00 90.00
Last column: nearest neighbours and their distance in Å.
Space group P4/mmm (No. 123)
Unique sites:
Y 0.0000 0.0000 0.0000 [1 per cell]  8 S 3.23, 4 N 3.57
Sb 0.5000 0.5000 0.5000 [1 per cell]  2 N 2.01
S 0.0000 0.5000 0.5000 [2 per cell]  2 Sb 2.52
N 0.5000 0.5000 0.0000 [1 per cell]  2 Sb 2.01

Output
Raw formation energy, eV per atom: -0.118
Energy, eV/cell: -27.76
Total moment, μB per formula unit: 0.00

***

[2]
Density functional theory data (GGA-PBE) for a relaxed structure of ZnSbSN2.

Lattice parameters (Å, degrees): 3.9237 3.9237 5.6056 90.00 90.00 90.00
Last column: nearest neighbours and their distance in Å.
Space group P4/mmm (No. 123)
Unique sites:
Zn 0.0000 0.0000 0.0000 [1 per cell]  4 S 2.77
Sb 0.5000 0.5000 0.5000 [1 per cell]  4 N 1.96
S 0.5000 0.5000 0.0000 [1 per cell]  4 Zn 2.77, 2 Sb 2.80
N 0.0000 0.5000 0.5000 [2 per cell]  2 Sb 1.96

Output
Raw formation energy, eV per atom: 1.129
Energy, eV/cell: -20.53
Total moment, μB per formula unit: 0.67

***

[3]
Density functional theory data (GGA-PBE) for a relaxed structure of ZnSbSN2.

Lattice parameters (Å, degrees): 3.9895 3.9895 5.0010 90.00 90.00 90.00
Last column: nearest neighbours and their distance in Å.
Space group P4/mmm (No. 123)
Unique sites:
Zn 0.0000 0.0000 0.0000 [1 per cell]  4 N 1.99
Sb 0.5000 0.5000 0.5000 [1 per cell]  4 S 2.82
S 0.0000 0.0000 0.5000 [1 per cell]  2 Zn 2.50
N 0.0000 0.5000 0.0000 [2 per cell]  2 Zn 1.99

Output
Raw formation energy, eV per atom: 1.329
Energy, eV/cell: -19.53
Total moment, μB per formula unit: 2.49